1.
VASP calculation (PBE-GGA) on AlGaCuTe4 after structural relaxation.

a b c (Å): 8.115 8.115 11.495
angles (deg): 90.00 90.00 90.00
Element x y z (fractional)
Al 0.000 0.245 0.000
Al 0.000 0.755 0.500
Al 0.245 0.000 0.750
Al 0.755 0.000 0.250
Ga 0.245 0.500 0.750
Ga 0.500 0.245 0.000
Ga 0.500 0.755 0.500
Ga 0.755 0.500 0.250
Cu 0.255 0.255 0.375
Cu 0.255 0.745 0.125
Cu 0.745 0.255 0.625
Cu 0.745 0.745 0.875
Te 0.004 0.246 0.756
Te 0.004 0.754 0.744
Te 0.246 0.004 0.994
Te 0.246 0.996 0.506
Te 0.247 0.486 0.997
Te 0.247 0.514 0.503
Te 0.486 0.247 0.753
Te 0.486 0.753 0.747
Te 0.514 0.247 0.247
Te 0.514 0.753 0.253
Te 0.753 0.486 0.003
Te 0.753 0.514 0.497
Te 0.754 0.004 0.006
Te 0.754 0.996 0.494
Te 0.996 0.246 0.244
Te 0.996 0.754 0.256

Summary:
The distance to the lowest polymorph of the same formula is 0 meV per atom. The value obtained for the calculated volume is 27.03 Å³ per atom. For the total energy, the calculation gives -3.49 eV/atom.

2.
VASP calculation (PBE-GGA) on TlCuSnTe2Se after structural relaxation.

a b c (Å): 7.577 7.577 11.268
angles (deg): 90.00 90.00 148.41
Element x y z (fractional)
Tl 0.229 0.771 0.750
Tl 0.771 0.229 0.250
Cu 0.045 0.955 0.250
Cu 0.955 0.045 0.750
Sn 0.500 0.500 0.000
Sn 0.500 0.500 0.500
Te 0.142 0.858 0.053
Te 0.142 0.858 0.447
Te 0.858 0.142 0.553
Te 0.858 0.142 0.947
Se 0.453 0.547 0.250
Se 0.547 0.453 0.750

Summary:
The value obtained for the calculated volume is 28.24 Å³ per atom. For the total energy, the calculation gives -3.50 eV/atom.